[1]
Density functional theory data (PBE) for a geometry-optimized Tl2IrCl structure.

Geometry as CIF:
```
data_Tl2IrCl
_chemical_formula_sum 'Tl2 Ir1 Cl1'
_space_group_name_H-M_alt 'P 1'
_space_group_IT_number 1
_cell_length_a 5.155
_cell_length_b 5.145
_cell_length_c 5.165
_cell_angle_alpha 127.49
_cell_angle_beta 114.39
_cell_angle_gamma 88.60
loop_
_space_group_symop_operation_xyz
'x,y,z'
loop_
_atom_site_label
_atom_site_type_symbol
_atom_site_fract_x
_atom_site_fract_y
_atom_site_fract_z
Ir1 Ir 0.750 0.250 0.500
Tl1 Tl 0.982 0.982 0.000
Cl1 Cl 0.250 0.750 0.500
Tl2 Tl 0.518 0.518 0.000
```

Results
SG = P-1, No. 2
Energy relative to the elements, uncorrected = 0.451 eV per atom
Distance to the lowest polymorph of the same formula = 369 meV per atom

[2]
Density functional theory data (PBE) for a geometry-optimized Tb2InAg structure.

Geometry as CIF:
```
data_Tb2InAg
_chemical_formula_sum 'Tb2 In1 Ag1'
_space_group_name_H-M_alt 'P 1'
_space_group_IT_number 1
_cell_length_a 3.641
_cell_length_b 3.641
_cell_length_c 7.749
_cell_angle_alpha 90.00
_cell_angle_beta 90.00
_cell_angle_gamma 90.00
loop_
_space_group_symop_operation_xyz
'x,y,z'
loop_
_atom_site_label
_atom_site_type_symbol
_atom_site_fract_x
_atom_site_fract_y
_atom_site_fract_z
Ag1 Ag 0.000 0.000 0.000
Tb1 Tb 0.500 0.500 0.237
In1 In 0.000 0.000 0.500
Tb2 Tb 0.500 0.500 0.763
```

Results
SG = P4/mmm, No. 123
Formation enthalpy at 0 K = -0.401 eV/atom

Calculated calculated density in order - 11.2, 8.7 g/cm³
Calculated total moment in order - 0.00, 0.00 Bohr magnetons per cell
Calculated Fermi-level density of states in order - 4.168, 3.103 states/eV/f.u.